(1)
## GaS6I2 (PBE)

Data for a relaxed structure of GaS6I2.

**Crystal system**: triclinic
**Formation energy (no corrections)**: 0.21 eV per atom
**Uncorrected energy**: -28.96 eV/f.u.
**Space group**: P-1 (2)

a = 5.443 Å, b = 8.117 Å, c = 8.306 Å
α = 62.81°, β = 79.91°, γ = 83.59°
Fractional positions:
Ga 0.000 0.000 0.000
S 0.144 0.861 0.751
S 0.152 0.272 0.795
S 0.482 0.766 0.774
S 0.518 0.234 0.226
S 0.848 0.728 0.205
S 0.856 0.139 0.249
I 0.351 0.751 0.250
I 0.649 0.249 0.750


(2)
## MnAgSb2Pd (PBE)

Data for a relaxed structure of MnAgSb2Pd.

**Crystal system**: tetragonal
**Formation energy (no corrections)**: 0.51 eV per atom
**Uncorrected energy**: -22.90 eV/f.u.
**Energy above the lowest structure with this stoichiometry**: 0.00 kJ per mole of atoms
**Space group**: P4/mmm (123)

a = 5.164 Å, b = 5.164 Å, c = 4.918 Å
α = 90.00°, β = 90.00°, γ = 90.00°
Fractional positions:
Mn 0.000 0.000 0.000
Ag 0.500 0.500 0.000
Sb 0.000 0.500 0.500
Sb 0.500 0.000 0.500
Pd 0.000 0.000 0.500


(3)
## Th4HgRh (PBE)

Data for a relaxed structure of Th4HgRh.

**Crystal system**: monoclinic
**Uncorrected energy**: -37.94 eV/f.u.
**Space group**: P2_1/c (14)

a = 7.235 Å, b = 7.642 Å, c = 6.910 Å
α = 90.00°, β = 96.77°, γ = 90.00°
Fractional positions:
Th 0.143 0.162 0.180
Th 0.143 0.338 0.680
Th 0.343 0.640 0.090
Th 0.343 0.860 0.590
Th 0.657 0.140 0.410
Th 0.657 0.360 0.910
Th 0.857 0.662 0.320
Th 0.857 0.838 0.820
Hg 0.500 0.000 0.000
Hg 0.500 0.500 0.500
Rh 0.000 0.000 0.500
Rh 0.000 0.500 0.000


(4)
## LiHfBi (PBE)

Data for a relaxed structure of LiHfBi.

**Crystal system**: trigonal
**Uncorrected energy**: -16.08 eV/f.u.
**Energy above the lowest structure with this stoichiometry**: 0.00 kJ per mole of atoms
**Space group**: P-3m1 (164)

a = 3.408 Å, b = 3.408 Å, c = 14.488 Å
α = 90.00°, β = 90.00°, γ = 120.00°
Fractional positions:
Li 0.333 0.667 0.088
Li 0.667 0.333 0.912
Hf 0.333 0.667 0.418
Hf 0.667 0.333 0.582
Bi 0.333 0.667 0.754
Bi 0.667 0.333 0.246


(5)
## CaCoH2 (PBE)

Data for a relaxed structure of CaCoH2.

**Crystal system**: cubic
**Uncorrected energy**: -14.40 eV/f.u.
**Energy above the lowest structure with this stoichiometry**: 45.39 kJ per mole of atoms
**Space group**: Fm-3m (225)

a = 4.008 Å, b = 4.008 Å, c = 4.008 Å
α = 60.00°, β = 60.00°, γ = 60.00°
Fractional positions:
Ca 0.000 0.000 0.000
Co 0.500 0.500 0.500
H 0.250 0.250 0.250
H 0.750 0.750 0.750


(6)
## LiAlNi (PBE)

Data for a relaxed structure of LiAlNi.

**Crystal system**: cubic
**Uncorrected energy**: -11.53 eV/f.u.
**Space group**: F-43m (216)

a = 4.020 Å, b = 4.020 Å, c = 4.020 Å
α = 60.00°, β = 60.00°, γ = 60.00°
Fractional positions:
Li 0.000 0.000 0.000
Al 0.500 0.500 0.500
Ni 0.750 0.750 0.750